Here is a relaxed structure of Sm2GaN from Alexandria via LeMat-Bulk. Energies are from PBE.

Lattice parameters (Å, degrees): 3.639 3.639 7.750 76.42 76.42 60.00
Atoms (fractional coordinates):
1 Ga 0.000 0.000 0.000
2 Sm 0.771 0.771 0.688
3 Sm 0.229 0.229 0.312
4 N 0.500 0.500 0.500

## Properties
The density comes out at 7.463 g cm⁻³. The uncorrected formation energy comes out at -920 meV/atom. Its space group is R-3m (166).